Entry 1:
# SrSbBr2

An optimized crystal structure of SrSbBr2 (GGA-PBE, Alexandria).

- polymorph energy (0 for the lowest one) (kJ per mole of atoms) = 8.5

a b c (Å): 3.9420 4.8386 6.3858
angles (deg): 90.00 90.00 90.00
Closest atoms and distances in Å follow each position.
Fractional positions:
Sr  0.0000  0.0000  0.0000  4 Br 3.12
Sb  0.5000  0.0000  0.5000  4 Br 3.12
Br  0.0000  0.5000  0.5000  4 Sb 3.12
Br  0.5000  0.5000  0.0000  4 Sr 3.12



Entry 2:
# Sr2SbBr

An optimized crystal structure of Sr2SbBr (GGA-PBE, Alexandria).

- E_tot (eV/atom) = -2.91

a b c (Å): 5.7288 5.7288 5.7288
angles (deg): 60.00 60.00 60.00
Closest atoms and distances in Å follow each position.
Fractional positions:
Sr  0.0000  0.0000  0.0000  4 Sb 3.51, 4 Sr 3.51
Sr  0.2500  0.2500  0.2500  4 Br 3.51, 4 Sr 3.51
Sb  0.7500  0.7500  0.7500  4 Br 3.51, 4 Sr 3.51
Br  0.5000  0.5000  0.5000  4 Sb 3.51, 4 Sr 3.51



Entry 3:
# SrSbBr2

An optimized crystal structure of SrSbBr2 (GGA-PBE, Alexandria).

- polymorph energy (0 for the lowest one) (kJ per mole of atoms) = 4.6

a b c (Å): 3.6277 3.6277 12.2608
angles (deg): 90.00 90.00 90.00
Closest atoms and distances in Å follow each position.
Fractional positions:
Sr  0.0000  0.0000  0.0000  8 Br 3.13
Sb  0.0000  0.0000  0.5000  4 Sb 3.63
Br  0.5000  0.5000  0.1463  4 Sr 3.13
Br  0.5000  0.5000  0.8537  4 Sr 3.13



Number 1: Fermi-level density of states 1.713 states/eV/cell, total magnetic moment 0.0000 μB per atom, calculated density 5.03 g/cm³. Number 2: Fermi-level density of states 0.160 states/eV/cell, total magnetic moment 0.0000 μB per atom, calculated density 4.71 g/cm³. Number 3: Fermi-level density of states 1.866 states/eV/cell, total magnetic moment 0.1243 μB per atom, calculated density 3.80 g/cm³.